Record 1
{
  "formula": "MgIr",
  "functional": "PBE",
  "state": "relaxed",
  "cell": [[10.0805, 0.0000, 0.0000], [0.0000, 2.8654, 0.0000], [-1.8401, 0.0000, 6.5603]],
  "species": ["Mg", "Mg", "Mg", "Mg", "Mg", "Mg", "Ir", "Ir", "Ir", "Ir", "Ir", "Ir"],
  "fractional_positions": [[0.0000, 0.0000, 0.0000], [0.0316, 0.0000, 0.6054], [0.3522, 0.0000, 0.2545], [0.5000, 0.5000, 0.0000], [0.5316, 0.5000, 0.6054], [0.8522, 0.5000, 0.2545], [0.1462, 0.5000, 0.3392], [0.2167, 0.5000, 0.9274], [0.3045, 0.0000, 0.6521], [0.6462, 0.0000, 0.3392], [0.7167, 0.0000, 0.9274], [0.8045, 0.5000, 0.6521]],
  "dft_energy_ev_per_cell": -65.8
}



Record 2
{
  "formula": "MgIr",
  "functional": "PBE",
  "state": "relaxed",
  "cell": [[4.4042, 0.0000, 0.0000], [-2.2021, 3.8141, 0.0000], [0.0000, 0.0000, 8.3418]],
  "species": ["Mg", "Mg", "Mg", "Mg", "Ir", "Ir", "Ir", "Ir"],
  "fractional_positions": [[0.3333, 0.6667, 0.0832], [0.3333, 0.6667, 0.4168], [0.6667, 0.3333, 0.5832], [0.6667, 0.3333, 0.9168], [0.0000, 0.0000, 0.2500], [0.0000, 0.0000, 0.7500], [0.3333, 0.6667, 0.7500], [0.6667, 0.3333, 0.2500]],
  "dft_energy_ev_per_cell": -43.4
}



Record 3
{
  "formula": "MgIr3",
  "functional": "PBE",
  "state": "relaxed",
  "cell": [[4.8392, 0.0000, 0.0000], [0.0000, 8.9964, 0.0000], [0.0000, 0.0000, 5.4733]],
  "species": ["Mg", "Mg", "Mg", "Mg", "Ir", "Ir", "Ir", "Ir", "Ir", "Ir", "Ir", "Ir", "Ir", "Ir", "Ir", "Ir"],
  "fractional_positions": [[0.0759, 0.2500, 0.1265], [0.4241, 0.7500, 0.6265], [0.5759, 0.2500, 0.3735], [0.9241, 0.7500, 0.8735], [0.0864, 0.2500, 0.6317], [0.2360, 0.5070, 0.3770], [0.2360, 0.9930, 0.3770], [0.2640, 0.0070, 0.8770], [0.2640, 0.4930, 0.8770], [0.4136, 0.7500, 0.1317], [0.5864, 0.2500, 0.8683], [0.7360, 0.5070, 0.1230], [0.7360, 0.9930, 0.1230], [0.7640, 0.0070, 0.6230], [0.7640, 0.4930, 0.6230], [0.9136, 0.7500, 0.3683]],
  "dft_energy_ev_per_cell": -115.8
}



Record 4
{
  "formula": "MgIr3",
  "functional": "PBE",
  "state": "relaxed",
  "cell": [[5.5411, 0.0000, 0.0000], [-2.7705, 4.7987, 0.0000], [0.0000, 0.0000, 4.4751]],
  "species": ["Mg", "Mg", "Ir", "Ir", "Ir", "Ir", "Ir", "Ir"],
  "fractional_positions": [[0.3333, 0.6667, 0.2500], [0.6667, 0.3333, 0.7500], [0.1669, 0.3337, 0.7500], [0.1669, 0.8331, 0.7500], [0.3337, 0.1669, 0.2500], [0.6663, 0.8331, 0.7500], [0.8331, 0.1669, 0.2500], [0.8331, 0.6663, 0.2500]],
  "dft_energy_ev_per_cell": -56.9
}



Record 5
{
  "formula": "Mg3Ir",
  "functional": "PBE",
  "state": "relaxed",
  "cell": [[3.1093, 0.0000, 0.0000], [0.0000, 4.5901, 0.0000], [0.0000, 0.0000, 4.9385]],
  "species": ["Mg", "Mg", "Mg", "Ir"],
  "fractional_positions": [[0.0000, 0.0000, 0.0000], [0.0000, 0.5000, 0.3648], [0.5000, 0.0000, 0.5340], [0.5000, 0.5000, 0.8591]],
  "dft_energy_ev_per_cell": -14.3
}



Record 6
{
  "formula": "MgIr2",
  "functional": "PBE",
  "state": "relaxed",
  "cell": [[5.8791, 0.0000, 0.0000], [0.0000, 5.8791, 0.0000], [0.0000, 0.0000, 5.8791]],
  "species": ["Mg", "Mg", "Mg", "Mg", "Ir", "Ir", "Ir", "Ir", "Ir", "Ir", "Ir", "Ir"],
  "fractional_positions": [[0.0000, 0.0000, 0.0000], [0.0000, 0.5000, 0.5000], [0.5000, 0.0000, 0.5000], [0.5000, 0.5000, 0.0000], [0.2500, 0.2500, 0.2500], [0.2500, 0.2500, 0.7500], [0.2500, 0.7500, 0.2500], [0.2500, 0.7500, 0.7500], [0.7500, 0.2500, 0.2500], [0.7500, 0.2500, 0.7500], [0.7500, 0.7500, 0.2500], [0.7500, 0.7500, 0.7500]],
  "dft_energy_ev_per_cell": -69.0
}



Record 7
{
  "formula": "MgIr",
  "functional": "PBE",
  "state": "relaxed",
  "cell": [[5.2402, 0.0000, 0.0000], [0.0000, 5.2402, 0.0000], [0.0000, 0.0000, 5.1761]],
  "species": ["Mg", "Mg", "Mg", "Mg", "Ir", "Ir", "Ir", "Ir"],
  "fractional_positions": [[0.1949, 0.1949, 0.0000], [0.3051, 0.6949, 0.5000], [0.6949, 0.3051, 0.5000], [0.8051, 0.8051, 0.0000], [0.1781, 0.1781, 0.5000], [0.3219, 0.6781, 0.0000], [0.6781, 0.3219, 0.0000], [0.8219, 0.8219, 0.5000]],
  "dft_energy_ev_per_cell": -38.0
}



Record 8
{
  "formula": "Mg4Ir5",
  "functional": "PBE",
  "state": "relaxed",
  "cell": [[7.7363, 0.0000, 0.0000], [-3.8681, 6.6998, 0.0000], [0.0000, 0.0000, 5.3396]],
  "species": ["Mg", "Mg", "Mg", "Mg", "Mg", "Mg", "Mg", "Mg", "Ir", "Ir", "Ir", "Ir", "Ir", "Ir", "Ir", "Ir", "Ir", "Ir"],
  "fractional_positions": [[0.0000, 0.0000, 0.0000], [0.0000, 0.0000, 0.5000], [0.0000, 0.3563, 0.2500], [0.0000, 0.6437, 0.7500], [0.3563, 0.0000, 0.2500], [0.3563, 0.3563, 0.7500], [0.6437, 0.0000, 0.7500], [0.6437, 0.6437, 0.2500], [0.0000, 0.3188, 0.7500], [0.0000, 0.6812, 0.2500], [0.3188, 0.0000, 0.7500], [0.3188, 0.3188, 0.2500], [0.3333, 0.6667, 0.0000], [0.3333, 0.6667, 0.5000], [0.6667, 0.3333, 0.0000], [0.6667, 0.3333, 0.5000], [0.6812, 0.0000, 0.2500], [0.6812, 0.6812, 0.7500]],
  "polymorph_energy_mev_per_atom": 87.5,
  "dft_energy_ev_per_cell": -102.3
}



Record 9
{
  "formula": "MgIr3",
  "functional": "PBE",
  "state": "relaxed",
  "cell": [[2.7733, 0.0000, 0.0000], [0.0000, 2.7733, 0.0000], [0.0000, 0.0000, 7.8498]],
  "species": ["Mg", "Ir", "Ir", "Ir"],
  "fractional_positions": [[0.0000, 0.0000, 0.0000], [0.0000, 0.0000, 0.5000], [0.5000, 0.5000, 0.2626], [0.5000, 0.5000, 0.7374]],
  "dft_energy_ev_per_cell": -28.7
}



Record 10
{
  "formula": "Mg5Ir2",
  "functional": "PBE",
  "state": "relaxed",
  "cell": [[-3.3516, 6.5327, 2.8777], [3.3516, -6.5327, 2.8777], [3.3516, 6.5327, -2.8777]],
  "species": ["Mg", "Mg", "Mg", "Mg", "Mg", "Mg", "Mg", "Mg", "Mg", "Mg", "Ir", "Ir", "Ir", "Ir"],
  "fractional_positions": [[0.0156, 0.2500, 0.7656], [0.0816, 0.6538, 0.7355], [0.2500, 0.2500, 0.0000], [0.4184, 0.1538, 0.5722], [0.4844, 0.2500, 0.2344], [0.5156, 0.7500, 0.7656], [0.5816, 0.8462, 0.4278], [0.7500, 0.7500, 0.0000], [0.9184, 0.3462, 0.2645], [0.9844, 0.7500, 0.2344], [0.1233, 0.2613, 0.3846], [0.3767, 0.7613, 0.1380], [0.6233, 0.2387, 0.8620], [0.8767, 0.7387, 0.6154]],
  "dft_energy_ev_per_cell": -55.8
}



Record 11
{
  "formula": "Mg3Ir",
  "functional": "PBE",
  "state": "relaxed",
  "cell": [[5.8974, 0.0000, 0.0000], [-2.9487, 5.1073, 0.0000], [0.0000, 0.0000, 4.6646]],
  "species": ["Mg", "Mg", "Mg", "Mg", "Mg", "Mg", "Ir", "Ir"],
  "fractional_positions": [[0.1751, 0.3503, 0.2500], [0.1751, 0.8249, 0.2500], [0.3503, 0.1751, 0.7500], [0.6497, 0.8249, 0.2500], [0.8249, 0.1751, 0.7500], [0.8249, 0.6497, 0.7500], [0.3333, 0.6667, 0.7500], [0.6667, 0.3333, 0.2500]],
  "dft_energy_ev_per_cell": -29.3
}



Record 12
{
  "formula": "Mg3Ir",
  "functional": "PBE",
  "state": "relaxed",
  "cell": [[5.0407, 0.0000, 0.0000], [0.0000, 5.0407, 0.0000], [0.0000, 0.0000, 5.0407]],
  "species": ["Mg", "Mg", "Mg", "Ir"],
  "fractional_positions": [[0.0000, 0.0000, 0.5000], [0.0000, 0.5000, 0.0000], [0.5000, 0.0000, 0.0000], [0.0000, 0.0000, 0.0000]],
  "dft_energy_ev_per_cell": -13.1
}



Please write out number 6 again, unchanged.
{
  "formula": "MgIr2",
  "functional": "PBE",
  "state": "relaxed",
  "cell": [[5.8791, 0.0000, 0.0000], [0.0000, 5.8791, 0.0000], [0.0000, 0.0000, 5.8791]],
  "species": ["Mg", "Mg", "Mg", "Mg", "Ir", "Ir", "Ir", "Ir", "Ir", "Ir", "Ir", "Ir"],
  "fractional_positions": [[0.0000, 0.0000, 0.0000], [0.0000, 0.5000, 0.5000], [0.5000, 0.0000, 0.5000], [0.5000, 0.5000, 0.0000], [0.2500, 0.2500, 0.2500], [0.2500, 0.2500, 0.7500], [0.2500, 0.7500, 0.2500], [0.2500, 0.7500, 0.7500], [0.7500, 0.2500, 0.2500], [0.7500, 0.2500, 0.7500], [0.7500, 0.7500, 0.2500], [0.7500, 0.7500, 0.7500]],
  "dft_energy_ev_per_cell": -69.0
}